# 1
Entry from the Alexandria database: a PBEsol-optimized structure of HfTi2Si (meta-GGA SCAN).

Structure (POSCAR):
```
HfTi2Si
1.0
7.386 0.000 0.000
0.000 7.386 0.000
0.000 0.000 5.235
Hf Ti Si
4 8 4
Cartesian
0.000 0.000 0.000
0.000 3.693 1.309
3.693 0.000 3.926
3.693 3.693 2.617
1.536 5.539 3.272
1.846 1.536 1.963
1.846 2.157 4.581
2.157 5.539 0.654
5.229 1.846 0.654
5.539 5.229 4.581
5.539 5.850 1.963
5.850 1.846 3.272
0.000 0.000 2.617
0.000 3.693 3.926
3.693 0.000 1.309
3.693 3.693 0.000
```

Properties
Density ... 7.03 g/cm³
Crystal system ... tetragonal
Formation energy without anion corrections ... 0.071 eV/atom
SG ... No. 122

=====

# 2
Entry from the Alexandria database: a PBEsol-optimized structure of LaWF2 (meta-GGA SCAN).

Structure (POSCAR):
```
LaWF2
1.0
3.008 0.000 0.000
-1.504 2.605 0.000
0.000 0.000 23.524
La W F
3 3 6
Cartesian
0.000 0.000 0.000
0.000 1.737 15.682
1.504 0.868 7.841
0.000 0.000 11.762
0.000 1.737 3.921
1.504 0.868 19.603
0.000 0.000 9.650
0.000 0.000 13.873
0.000 1.737 1.809
0.000 1.737 6.032
1.504 0.868 17.491
1.504 0.868 21.715
```

Properties
Density ... 9.75 g/cm³
Crystal system ... trigonal
Formation energy without anion corrections ... -1.439 eV/atom
SG ... No. 166

=====

# 3
Entry from the Alexandria database: a PBEsol-optimized structure of NdIr2 (meta-GGA SCAN).

Structure (POSCAR):
```
NdIr2
1.0
0.000 3.797 3.797
3.797 0.000 3.797
3.797 3.797 0.000
Nd Ir
2 4
Cartesian
0.949 0.949 0.949
6.644 6.644 6.644
3.797 1.898 1.898
1.898 3.797 1.898
1.898 1.898 3.797
3.797 3.797 3.797
```

Properties
Density ... 16.04 g/cm³
Crystal system ... cubic
DFT formation energy ... -0.85 eV per atom
SG ... No. 227

=====

no.,final energy (eV/atom)
1,-26.117
2,-31.408
3,-62.781